1.
{
  "formula": "PbSeSN2",
  "functional": "PBE",
  "state": "relaxed",
  "e_above_lowest_polymorph_mev_per_atom": 587,
  "magmom_total_mub_per_cell": 3.5,
  "dos_ef_per_ev_fu": 3.2,
  "total_energy_ev_per_atom": -3.75,
  "e_form_raw_ev_per_atom": 1.843,
  "cell": [[4.325, 0.000, 0.000], [0.000, 4.325, 0.000], [0.000, 0.000, 5.649]],
  "species": ["Pb", "Se", "S", "N", "N"],
  "fractional_positions": [[0.000, 0.000, 0.000], [0.500, 0.500, 0.500], [0.000, 0.000, 0.500], [0.000, 0.500, 0.000], [0.500, 0.000, 0.000]]
}



2.
{
  "formula": "KIO2F",
  "functional": "PBE",
  "state": "relaxed",
  "magmom_total_mub_per_cell": 0.0,
  "dos_ef_per_ev_fu": 9.7,
  "total_energy_ev_per_atom": -2.37,
  "e_form_raw_ev_per_atom": 0.516,
  "cell": [[4.665, 0.000, 0.000], [0.000, 4.665, 0.000], [0.000, 0.000, 4.512]],
  "species": ["K", "I", "O", "O", "F"],
  "fractional_positions": [[0.000, 0.000, 0.000], [0.500, 0.500, 0.500], [0.000, 0.500, 0.000], [0.500, 0.000, 0.000], [0.000, 0.000, 0.500]]
}



3.
{
  "formula": "SrVAsBr2",
  "functional": "PBE",
  "state": "relaxed",
  "e_above_lowest_polymorph_mev_per_atom": 0,
  "magmom_total_mub_per_cell": 2.0,
  "dos_ef_per_ev_fu": 2.4,
  "total_energy_ev_per_atom": -4.54,
  "e_form_raw_ev_per_atom": -0.785,
  "cell": [[5.225, 0.000, 0.000], [0.000, 5.225, 0.000], [0.000, 0.000, 4.944]],
  "species": ["Sr", "V", "As", "Br", "Br"],
  "fractional_positions": [[0.000, 0.000, 0.000], [0.500, 0.500, 0.500], [0.500, 0.500, 0.000], [0.000, 0.500, 0.500], [0.500, 0.000, 0.500]]
}